AcY2Sb after structural relaxation, computed with GGA-PBE.

Cell lengths 4.1074, 4.1074, 29.5225 Å; angles 90.00, 90.00, 120.00 degrees
Space group R3m (No. 160, hexagonal axes)
Asymmetric unit:
Ac 0.0000 0.0000 0.0000
Y 0.0000 0.0000 0.5623
Y 0.0000 0.0000 0.7688
Sb 0.0000 0.0000 0.1651

Values from the calculation:
As for the volume: 35.945 Å³/atom. The value obtained for the uncorrected energy is -68.36 eV per cell. The value obtained for the energy relative to the lowest polymorph listed for this composition is 6.9 kJ/mol of atoms. The formation energy from raw total energies comes out at -157 kJ/mol of formula units.